[1]
Entry from Alexandria: CeSi3Pt after structural relaxation (PBE).

Properties
- SG = No. 107

a b c (Å): 5.6861 5.6861 5.6861
angles (deg): 135.42 135.42 64.88
Last column: nearest neighbours and their distance in Å.
Fractional positions:
Ce  0.0000  0.0000  0.0000  12 Si 3.12-3.33, 5 Pt 3.36-3.37
Si  0.2648  0.7648  0.5000  2 Pt 2.42, 2 Si 2.51
Si  0.3990  0.3990  0.0000  1 Pt 2.41, 4 Si 2.51
Si  0.7648  0.2648  0.5000  2 Pt 2.42, 2 Si 2.51
Pt  0.6500  0.6500  0.0000  5 Si 2.41-2.42

[2]
Entry from Alexandria: Ce2Si2Pt after structural relaxation (PBE).

Properties
- SG = No. 12

a b c (Å): 5.7899 5.7899 10.6423
angles (deg): 116.69 116.69 42.53
Last column: nearest neighbours and their distance in Å.
Fractional positions:
Ce  0.0750  0.0750  0.3563  7 Si 3.09-3.18, 4 Pt 3.10-3.19
Ce  0.2101  0.2101  0.0725  2 Ce 2.97, 2 Pt 3.05, 6 Si 3.07-3.19
Ce  0.7899  0.7899  0.9275  2 Ce 2.97, 2 Pt 3.05, 6 Si 3.07-3.19
Ce  0.9250  0.9250  0.6437  7 Si 3.09-3.18, 4 Pt 3.10-3.19
Si  0.3821  0.3821  0.4073  1 Si 2.35, 2 Pt 2.43
Si  0.4862  0.4862  0.8809  1 Si 2.41, 1 Pt 2.46
Si  0.5138  0.5138  0.1191  1 Si 2.41, 1 Pt 2.46
Si  0.6179  0.6179  0.5927  1 Si 2.35, 2 Pt 2.43
Pt  0.2345  0.2345  0.6983  3 Si 2.43-2.46
Pt  0.7655  0.7655  0.3017  3 Si 2.43-2.46

[3]
Entry from Alexandria: Ce4SiPt3 after structural relaxation (PBE).

Properties
- SG = No. 25

a b c (Å): 3.9975 4.2724 11.0579
angles (deg): 90.00 90.00 90.00
Last column: nearest neighbours and their distance in Å.
Fractional positions:
Ce  0.0000  0.0000  0.0000  5 Pt 2.96-3.00, 2 Si 3.08
Ce  0.0000  0.5000  0.2774  3 Pt 2.96-3.14, 4 Si 3.01
Ce  0.5000  0.0000  0.4943  6 Pt 2.98-3.30, 1 Si 3.12
Ce  0.5000  0.5000  0.7744  7 Pt 2.96-3.23
Si  0.5000  0.0000  0.2121  2 Pt 2.73, 4 Ce 3.01
Pt  0.0000  0.0000  0.7323  7 Ce 2.96-3.30, 2 Pt 2.97
Pt  0.0000  0.5000  0.5453  7 Ce 2.96-3.23, 2 Pt 2.97
Pt  0.5000  0.5000  0.0584  2 Si 2.73, 4 Ce 3.00

[4]
Entry from Alexandria: Ce3Si2Pt after structural relaxation (PBE).

Properties
- SG = No. 62

a b c (Å): 12.1749 4.2145 10.3692
angles (deg): 90.00 90.00 90.00
Last column: nearest neighbours and their distance in Å.
Fractional positions:
Ce  0.0426  0.2500  0.0850  2 Ce 2.94, 1 Pt 2.95, 5 Si 3.06
Ce  0.1283  0.7500  0.5739  5 Si 3.09-3.15, 2 Ce 3.10, 3 Pt 3.11-3.15
Ce  0.2185  0.2500  0.7654  5 Si 3.00-3.18, 2 Pt 3.00, 2 Ce 3.10
Ce  0.2815  0.7500  0.2654  5 Si 3.00-3.18, 2 Pt 3.00, 2 Ce 3.10
Ce  0.3717  0.2500  0.0739  5 Si 3.09-3.15, 2 Ce 3.10, 3 Pt 3.11-3.15
Ce  0.4574  0.7500  0.5850  2 Ce 2.94, 1 Pt 2.95, 5 Si 3.06
Ce  0.5426  0.2500  0.4150  2 Ce 2.94, 1 Pt 2.95, 5 Si 3.06
Ce  0.6283  0.7500  0.9261  5 Si 3.09-3.15, 2 Ce 3.10, 3 Pt 3.11-3.15
Ce  0.7185  0.2500  0.7346  5 Si 3.00-3.18, 2 Pt 3.00, 2 Ce 3.10
Ce  0.7815  0.7500  0.2346  5 Si 3.00-3.18, 2 Pt 3.00, 2 Ce 3.10
Ce  0.8717  0.2500  0.4261  5 Si 3.09-3.15, 2 Ce 3.10, 3 Pt 3.11-3.15
Ce  0.9574  0.7500  0.9150  2 Ce 2.94, 1 Pt 2.95, 5 Si 3.06
Si  0.0219  0.7500  0.2975  2 Pt 2.51
Si  0.2021  0.7500  0.9822  1 Pt 2.51
Si  0.2979  0.2500  0.4822  1 Pt 2.51
Si  0.4781  0.2500  0.7975  2 Pt 2.51
Si  0.5219  0.7500  0.2025  2 Pt 2.51
Si  0.7021  0.7500  0.5178  1 Pt 2.51
Si  0.7979  0.2500  0.0178  1 Pt 2.51
Si  0.9781  0.2500  0.7025  2 Pt 2.51
Pt  0.1232  0.2500  0.3534  3 Si 2.51
Pt  0.3768  0.7500  0.8534  3 Si 2.51
Pt  0.6232  0.2500  0.1466  3 Si 2.51
Pt  0.8768  0.7500  0.6466  3 Si 2.51

[5]
Entry from Alexandria: CeSi3Pt after structural relaxation (PBE).

Properties
- SG = No. 63

a b c (Å): 6.1076 6.1076 8.2172
angles (deg): 90.00 90.00 138.79
Last column: nearest neighbours and their distance in Å.
Fractional positions:
Ce  0.0056  0.9944  0.7500  11 Si 3.15-3.41, 3 Pt 3.21-3.33
Ce  0.9944  0.0056  0.2500  11 Si 3.15-3.41, 3 Pt 3.21-3.33
Si  0.2930  0.7070  0.2500  2 Pt 2.38, 2 Si 2.41
Si  0.3998  0.6002  0.5028  2 Si 2.29-2.41, 1 Pt 2.35
Si  0.3998  0.6002  0.9972  2 Si 2.29-2.41, 1 Pt 2.35
Si  0.6002  0.3998  0.0028  2 Si 2.29-2.41, 1 Pt 2.35
Si  0.6002  0.3998  0.4972  2 Si 2.29-2.41, 1 Pt 2.35
Si  0.7070  0.2930  0.7500  2 Pt 2.38, 2 Si 2.41
Pt  0.2967  0.7033  0.7500  4 Si 2.35-2.38
Pt  0.7033  0.2967  0.2500  4 Si 2.35-2.38

[6]
Entry from Alexandria: CeSi3Pt2 after structural relaxation (PBE).

Properties
- SG = No. 12

a b c (Å): 7.7076 7.7076 7.3347
angles (deg): 109.91 109.91 31.72
Last column: nearest neighbours and their distance in Å.
Fractional positions:
Ce  0.1476  0.1476  0.0918  6 Si 2.89-3.23, 2 Pt 3.17
Ce  0.8524  0.8524  0.9082  6 Si 2.89-3.23, 2 Pt 3.17
Si  0.0038  0.0038  0.3421  1 Si 2.36, 2 Pt 2.40
Si  0.3276  0.3276  0.5603  4 Pt 2.42-2.49
Si  0.3551  0.3551  0.2120  3 Pt 2.39-2.55
Si  0.6449  0.6449  0.7880  3 Pt 2.39-2.55
Si  0.6724  0.6724  0.4397  4 Pt 2.42-2.49
Si  0.9962  0.9962  0.6579  1 Si 2.36, 2 Pt 2.40
Pt  0.1755  0.1755  0.6238  6 Si 2.46-2.65
Pt  0.4872  0.4872  0.8068  4 Si 2.39-2.42
Pt  0.5128  0.5128  0.1932  4 Si 2.39-2.42
Pt  0.8245  0.8245  0.3762  6 Si 2.46-2.65

[7]
Entry from Alexandria: Ce2Si3Pt after structural relaxation (PBE).

Properties
- SG = No. 25

a b c (Å): 4.0989 4.1675 7.1242
angles (deg): 90.00 90.00 90.00
Last column: nearest neighbours and their distance in Å.
Fractional positions:
Ce  0.0000  0.0000  0.0000  8 Si 3.12-3.17, 4 Pt 3.16
Ce  0.0000  0.5000  0.4919  10 Si 3.09-3.16, 2 Pt 3.17
Si  0.5000  0.0000  0.3300  3 Si 2.36-2.39
Si  0.5000  0.0000  0.6608  1 Si 2.36, 2 Pt 2.41
Si  0.5000  0.5000  0.1671  2 Si 2.39, 1 Pt 2.40
Pt  0.5000  0.5000  0.8308  3 Si 2.40-2.41

[8]
Entry from Alexandria: Ce3Si4Pt7 after structural relaxation (PBE).

Properties
- SG = No. 12

a b c (Å): 8.1298 8.1298 9.5957
angles (deg): 124.55 124.55 29.05
Last column: nearest neighbours and their distance in Å.
Fractional positions:
Ce  0.0000  0.0000  0.0000  6 Si 3.02-3.14, 6 Pt 3.25-3.28
Ce  0.3261  0.3261  0.3279  10 Pt 3.01-3.37, 4 Si 3.02-3.03
Ce  0.6739  0.6739  0.6721  10 Pt 3.01-3.37, 4 Si 3.02-3.03
Si  0.1107  0.1107  0.8284  6 Pt 2.55-2.63
Si  0.3329  0.3329  0.7271  5 Pt 2.47-2.54
Si  0.6671  0.6671  0.2729  5 Pt 2.47-2.54
Si  0.8893  0.8893  0.1716  6 Pt 2.55-2.63
Pt  0.0000  0.0000  0.5000  2 Si 2.56
Pt  0.1687  0.1687  0.4197  3 Si 2.47-2.54
Pt  0.3063  0.3063  0.9590  4 Si 2.49-2.63
Pt  0.4912  0.4912  0.7285  3 Si 2.48-2.55
Pt  0.5088  0.5088  0.2715  3 Si 2.48-2.55
Pt  0.6937  0.6937  0.0410  4 Si 2.49-2.63
Pt  0.8313  0.8313  0.5803  3 Si 2.47-2.54

[9]
Entry from Alexandria: Ce4Si3Pt after structural relaxation (PBE).

Properties
- SG = No. 25

a b c (Å): 4.0078 4.2501 10.9729
angles (deg): 90.00 90.00 90.00
Last column: nearest neighbours and their distance in Å.
Fractional positions:
Ce  0.0000  0.0000  0.0000  4 Pt 3.01, 3 Si 3.17
Ce  0.0000  0.5000  0.4979  7 Si 3.04-3.16
Ce  0.5000  0.0000  0.2874  5 Si 3.03-3.14, 2 Pt 3.21
Ce  0.5000  0.5000  0.7857  6 Si 3.03-3.15, 1 Pt 3.10
Si  0.0000  0.0000  0.7115  2 Si 2.51
Si  0.0000  0.5000  0.2143  2 Pt 2.57
Si  0.5000  0.0000  0.5738  2 Si 2.51
Pt  0.5000  0.5000  0.0678  2 Si 2.57

[10]
Entry from Alexandria: Ce3Si3Pt after structural relaxation (PBE).

Properties
- SG = No. 44

a b c (Å): 9.5972 9.5972 9.5972
angles (deg): 155.37 154.96 35.41
Last column: nearest neighbours and their distance in Å.
Fractional positions:
Ce  0.0000  0.0000  0.0000  5 Si 3.04-3.17, 2 Pt 3.05
Ce  0.1878  0.6878  0.5000  8 Si 3.15-3.33, 4 Pt 3.16
Ce  0.3735  0.3735  0.0000  7 Si 3.03-3.15
Si  0.5458  0.5458  0.0000  2 Pt 2.47
Si  0.7527  0.2527  0.5000  1 Pt 2.40, 2 Si 2.45
Si  0.8267  0.8267  0.0000  2 Si 2.45
Pt  0.6217  0.1217  0.5000  3 Si 2.40-2.47

[11]
Entry from Alexandria: CeSi3Pt3 after structural relaxation (PBE).

Properties
- SG = No. 223

a b c (Å): 6.6249 6.6249 6.6249
angles (deg): 90.00 90.00 90.00
Last column: nearest neighbours and their distance in Å.
Fractional positions:
Ce  0.0000  0.0000  0.0000  12 Pt 3.70, 12 Si 3.70
Ce  0.5000  0.5000  0.5000  12 Pt 3.70, 12 Si 3.70
Si  0.0000  0.2500  0.5000  4 Pt 2.34
Si  0.0000  0.7500  0.5000  4 Pt 2.34
Si  0.2500  0.5000  0.0000  4 Pt 2.34
Si  0.5000  0.0000  0.2500  4 Pt 2.34
Si  0.5000  0.0000  0.7500  4 Pt 2.34
Si  0.7500  0.5000  0.0000  4 Pt 2.34
Pt  0.0000  0.5000  0.2500  4 Si 2.34
Pt  0.0000  0.5000  0.7500  4 Si 2.34
Pt  0.2500  0.0000  0.5000  4 Si 2.34
Pt  0.5000  0.2500  0.0000  4 Si 2.34
Pt  0.5000  0.7500  0.0000  4 Si 2.34
Pt  0.7500  0.0000  0.5000  4 Si 2.34

[12]
Entry from Alexandria: CeSi2Pt after structural relaxation (PBE).

Properties
- SG = No. 71

a b c (Å): 9.4179 9.4179 9.4179
angles (deg): 153.39 126.34 60.88
Last column: nearest neighbours and their distance in Å.
Fractional positions:
Ce  0.2026  0.2026  0.0000  8 Si 2.99-3.03, 6 Pt 3.17-3.19
Ce  0.2485  0.0000  0.2485  10 Si 3.24-3.31, 4 Pt 3.26
Ce  0.7515  0.0000  0.7515  10 Si 3.24-3.31, 4 Pt 3.26
Ce  0.7974  0.7974  0.0000  8 Si 2.99-3.03, 6 Pt 3.17-3.19
Si  0.0720  0.5720  0.5000  1 Si 2.34, 2 Pt 2.49
Si  0.1577  0.8040  0.3537  3 Pt 2.45-2.66, 1 Si 2.49
Si  0.4276  0.4276  0.0000  1 Si 2.35, 2 Pt 2.45
Si  0.4503  0.8040  0.6463  3 Pt 2.45-2.66, 1 Si 2.49
Si  0.5497  0.1960  0.3537  3 Pt 2.45-2.66, 1 Si 2.49
Si  0.5724  0.5724  0.0000  1 Si 2.35, 2 Pt 2.45
Si  0.8423  0.1960  0.6463  3 Pt 2.45-2.66, 1 Si 2.49
Si  0.9280  0.4280  0.5000  1 Si 2.34, 2 Pt 2.49
Pt  0.1030  0.3502  0.7527  5 Si 2.45-2.66
Pt  0.4025  0.6498  0.7527  5 Si 2.45-2.66
Pt  0.5975  0.3502  0.2473  5 Si 2.45-2.66
Pt  0.8970  0.6498  0.2473  5 Si 2.45-2.66

Energy relative to the elements, uncorrected (kcal/mol of atoms)
-18.55; -21.45; -22.48; -18.37; -14.08; -18.77; -21.37; -23.75; -17.30; -19.28; -15.82; -22.13